1.
# Mg3Tl2, optimized geometry, DFT PBE
# Energy relative to the elements: 54 meV per atom
# N(E_F): 8.71 states/eV/cell
# M_tot: 0.00 Bohr magnetons per cell
data_Mg3Tl2
_symmetry_space_group_name_H-M 'I b a m'
_symmetry_Int_Tables_number 72
_symmetry_space_group_name_Hall '-I 2 2c'
_cell_length_a 7.5958
_cell_length_b 11.6804
_cell_length_c 5.9411
_cell_angle_alpha 90.00
_cell_angle_beta 90.00
_cell_angle_gamma 90.00
loop_
_atom_site_label
_atom_site_fract_x
_atom_site_fract_y
_atom_site_fract_z
Mg1 0.0000 0.0000 0.2500
Mg2 0.1494 0.4154 0.0000
Tl1 0.2373 0.3255 0.5000

***

2.
# Rb2NaErI6, optimized geometry, DFT PBE
# E_form (uncorrected): -1418 meV per atom
# N(E_F): 0.00 states/eV/cell
# M_tot: 0.00 Bohr magnetons per cell
data_Rb2NaErI6
_symmetry_space_group_name_H-M 'P 1 21/c 1'
_symmetry_Int_Tables_number 14
_cell_length_a 8.3987
_cell_length_b 8.8155
_cell_length_c 14.6429
_cell_angle_alpha 90.00
_cell_angle_beta 124.53
_cell_angle_gamma 90.00
loop_
_symmetry_equiv_pos_as_xyz
'x,y,z'
'-x,-y,-z'
'-x,y+1/2,-z+1/2'
'x,-y+1/2,z+1/2'
loop_
_atom_site_label
_atom_site_fract_x
_atom_site_fract_y
_atom_site_fract_z
Rb1 0.2232 0.0765 0.2493
Na1 0.0000 0.0000 0.5000
Er1 0.5000 0.0000 0.0000
I1 0.1615 0.1889 0.9550
I2 0.2707 0.7115 0.9560
I3 0.3489 0.0152 0.7579

***

3.
# Y3Se, optimized geometry, DFT PBE
# E_form (uncorrected): -802 meV per atom
# N(E_F): 3.56 states/eV/cell
# M_tot: 0.61 Bohr magnetons per cell
data_Y3Se
_symmetry_space_group_name_H-M 'P -6 m 2'
_symmetry_Int_Tables_number 187
_symmetry_space_group_name_Hall 'P -6 2'
_cell_length_a 3.7482
_cell_length_b 3.7482
_cell_length_c 9.6677
_cell_angle_alpha 90.00
_cell_angle_beta 90.00
_cell_angle_gamma 120.00
loop_
_atom_site_label
_atom_site_fract_x
_atom_site_fract_y
_atom_site_fract_z
Y1 0.0000 0.0000 0.0000
Y2 0.6667 0.3333 0.2968
Se1 0.0000 0.0000 0.5000

***

4.
# TaNi2Pd, optimized geometry, DFT PBE
# Energy relative to the elements: -217 meV per atom
# N(E_F): 4.89 states/eV/cell
# M_tot: 0.00 Bohr magnetons per cell
data_TaNi2Pd
_symmetry_space_group_name_H-M 'P 4/m m m'
_symmetry_Int_Tables_number 123
_symmetry_space_group_name_Hall '-P 4 2'
_cell_length_a 3.9434
_cell_length_b 3.9434
_cell_length_c 3.5030
_cell_angle_alpha 90.00
_cell_angle_beta 90.00
_cell_angle_gamma 90.00
loop_
_atom_site_label
_atom_site_fract_x
_atom_site_fract_y
_atom_site_fract_z
Ta1 0.0000 0.0000 0.0000
Ni1 0.0000 0.5000 0.5000
Pd1 0.5000 0.5000 0.0000

***

5.
# Zr2SCl, optimized geometry, DFT PBE
# E_form (uncorrected): -820 meV per atom
# N(E_F): 20.88 states/eV/cell
# M_tot: 0.00 Bohr magnetons per cell
data_Zr2SCl
_symmetry_space_group_name_H-M 'F m -3 m'
_symmetry_Int_Tables_number 225
_symmetry_space_group_name_Hall '-F 4 2 3'
_cell_length_a 6.5249
_cell_length_b 6.5249
_cell_length_c 6.5249
_cell_angle_alpha 90.00
_cell_angle_beta 90.00
_cell_angle_gamma 90.00
loop_
_atom_site_label
_atom_site_fract_x
_atom_site_fract_y
_atom_site_fract_z
Zr1 0.2500 0.2500 0.2500
S1 0.0000 0.0000 0.0000
Cl1 0.0000 0.0000 0.5000

***

6.
# U3Si4Ni2, optimized geometry, DFT PBE
# E_form (uncorrected): -371 meV per atom
# N(E_F): 24.66 states/eV/cell
# M_tot: 0.06 Bohr magnetons per cell
data_U3Si4Ni2
_symmetry_space_group_name_H-M 'C 1 2/m 1'
_symmetry_Int_Tables_number 12
_cell_length_a 10.1806
_cell_length_b 3.8729
_cell_length_c 7.2663
_cell_angle_alpha 90.00
_cell_angle_beta 92.54
_cell_angle_gamma 90.00
loop_
_symmetry_equiv_pos_as_xyz
'x,y,z'
'-x,-y,-z'
'-x,y,-z'
'x,-y,z'
'x+1/2,y+1/2,z'
'-x+1/2,-y+1/2,-z'
'-x+1/2,y+1/2,-z'
'x+1/2,-y+1/2,z'
loop_
_atom_site_label
_atom_site_fract_x
_atom_site_fract_y
_atom_site_fract_z
U1 0.0000 0.0000 0.0000
U2 0.0782 0.5000 0.2514
Si1 0.1018 0.0000 0.5991
Si2 0.2130 0.5000 0.9036
Ni1 0.2187 0.5000 0.5949

***

7.
# Li5SmHg6, optimized geometry, DFT PBE
# Energy relative to the elements: -374 meV per atom
# N(E_F): 4.79 states/eV/cell
# M_tot: 0.00 Bohr magnetons per cell
data_Li5SmHg6
_symmetry_space_group_name_H-M 'P 1 2/m 1'
_symmetry_Int_Tables_number 10
_cell_length_a 4.8705
_cell_length_b 6.9708
_cell_length_c 7.6387
_cell_angle_alpha 90.00
_cell_angle_beta 108.38
_cell_angle_gamma 90.00
loop_
_symmetry_equiv_pos_as_xyz
'x,y,z'
'-x,-y,-z'
'-x,y,-z'
'x,-y,z'
loop_
_atom_site_label
_atom_site_fract_x
_atom_site_fract_y
_atom_site_fract_z
Li1 0.0000 0.0000 0.0000
Li2 0.3297 0.5000 0.6539
Li3 0.3415 0.0000 0.6801
Sm1 0.0000 0.5000 0.0000
Hg1 0.1724 0.2307 0.3473
Hg2 0.5000 0.2245 0.0000

***

8.
# NaPtCl5, optimized geometry, DFT PBE
# E_form (uncorrected): -722 meV per atom
# N(E_F): 14.64 states/eV/cell
# M_tot: 0.00 Bohr magnetons per cell
data_NaPtCl5
_symmetry_space_group_name_H-M 'C 1 2/c 1'
_symmetry_Int_Tables_number 15
_cell_length_a 10.8892
_cell_length_b 8.0731
_cell_length_c 8.8387
_cell_angle_alpha 90.00
_cell_angle_beta 111.10
_cell_angle_gamma 90.00
loop_
_symmetry_equiv_pos_as_xyz
'x,y,z'
'-x,-y,-z'
'-x,y,-z+1/2'
'x,-y,z+1/2'
'x+1/2,y+1/2,z'
'-x+1/2,-y+1/2,-z'
'-x+1/2,y+1/2,-z+1/2'
'x+1/2,-y+1/2,z+1/2'
loop_
_atom_site_label
_atom_site_fract_x
_atom_site_fract_y
_atom_site_fract_z
Na1 0.0000 0.0082 0.2500
Pt1 0.0000 0.5000 0.0000
Cl1 0.0000 0.3895 0.2500
Cl2 0.0818 0.2329 0.9874
Cl3 0.2144 0.4000 0.6325